A plane-wave DFT calculation with PBE was carried out for an optimized crystal structure of VPbCl6.

Lattice parameters (Å, degrees): 6.6463 6.6463 10.1210 89.45 89.45 76.06
With the nearest neighbours (Å) after each atom.
Sites, in units of the cell vectors:
Cl (0.1254, 0.5525, 0.7101)  1 V 2.35
Cl (0.4475, 0.8746, 0.7899)  1 V 2.35
Cl (0.8746, 0.4475, 0.2899)  1 V 2.35
Pb (0.0092, 0.9908, 0.7500)  6 Cl 2.86-3.16
Cl (0.5525, 0.1254, 0.2101)  1 V 2.35
Cl (0.7322, 0.4009, 0.5952)  1 V 2.25
Cl (0.1942, 0.1485, 0.5033)  1 V 2.38
V (0.0000, 0.5000, 0.5000)  6 Cl 2.25-2.38
Pb (0.9908, 0.0092, 0.2500)  6 Cl 2.86-3.16
Cl (0.5991, 0.2678, 0.9048)  1 V 2.25
Cl (0.4009, 0.7322, 0.0952)  1 V 2.25
Cl (0.2678, 0.5991, 0.4048)  1 V 2.25
Cl (0.8515, 0.8058, 0.9967)  1 V 2.38
Cl (0.1485, 0.1942, 0.0033)  1 V 2.38
Cl (0.8058, 0.8515, 0.4967)  1 V 2.38
V (0.5000, 0.0000, 0.0000)  6 Cl 2.25-2.38

Values from the calculation:
E_form (uncorrected)	-1.1013	eV/atom
E_tot	-4.090	eV/atom
density	3.60	g cm⁻³

---

A plane-wave DFT calculation with PBE was carried out for an optimized crystal structure of RbNa2SbH.

Lattice parameters (Å, degrees): 5.0602 5.0602 5.4820 90.00 90.00 90.00
With the nearest neighbours (Å) after each atom.
Sites, in units of the cell vectors:
Na (0.5000, 0.0000, 0.0000)  2 H 2.53
Rb (0.0000, 0.0000, 0.5000)  2 H 2.74
Sb (0.5000, 0.5000, 0.5000)  4 Rb 3.58, 8 Na 3.73
Na (0.0000, 0.5000, 0.0000)  2 H 2.53
H (0.0000, 0.0000, 0.0000)  4 Na 2.53, 2 Rb 2.74

Values from the calculation:
E_tot	-2.355	eV/atom
density	3.01	g cm⁻³

---

- Among the records above, which one has the lowest density?
  RbNa2SbH

---

- Which of these has the highest E_tot?
  RbNa2SbH

---

- What is the formula in the first record?
  VPbCl6